Computed, not measured: a relaxed BaErPO crystal at the PBE level of DFT.

Calculated values
- electronic total energy (Ry per atom) = -0.4610
- space group = Pmc2_1, No. 26
- magnetization (μB/atom) = 0.00
- V (Å³ per cell) = 227.3
- ρ (g/cm3) = 5.136

```
BaErPO
1.0
4.596 0.000 0.000
0.000 7.542 0.000
0.000 0.000 6.558
P Ba O Er
2 2 2 2
Direct
0.000 0.779 0.430
0.000 0.221 0.930
0.000 0.201 0.445
0.000 0.799 0.945
0.500 0.378 0.355
0.500 0.622 0.855
0.500 0.381 0.024
0.500 0.619 0.524
```